First-principles (GGA-PBEsol) data for a relaxed structure of Cr2CoRh, as listed in Alexandria via LeMat-Bulk.

POSCAR file:
```
Cr2CoRh
1.0
2.878 0.000 0.000
0.000 2.878 0.000
0.000 0.000 5.586
Cr Co Rh
2 1 1
Direct
0.000 0.000 0.000
0.500 0.500 0.255
0.500 0.500 0.817
0.000 0.000 0.521
```

## Properties
Energy relative to the elements, eV per formula unit: 0.4

First-principles (GGA-PBEsol) data for a relaxed structure of Cr2CoRh, as listed in Alexandria via LeMat-Bulk.

POSCAR file:
```
Cr2CoRh
1.0
2.536 0.000 0.000
0.000 2.536 0.000
0.000 0.000 7.104
Cr Co Rh
2 1 1
Direct
0.000 0.000 0.237
0.000 0.000 0.763
0.500 0.500 0.000
0.500 0.500 0.500
```

## Properties
Energy relative to the elements, eV per formula unit: 0.1

First-principles (GGA-PBEsol) data for a relaxed structure of Cr2CoRh, as listed in Alexandria via LeMat-Bulk.

POSCAR file:
```
Cr2CoRh
1.0
2.551 0.000 0.000
0.000 3.539 0.000
0.000 0.000 5.070
Cr Co Rh
2 1 1
Direct
0.000 0.000 0.230
0.000 0.000 0.770
0.500 0.500 0.000
0.500 0.500 0.500
```

## Properties
Energy relative to the elements, eV per formula unit: 0.0

First-principles (GGA-PBEsol) data for a relaxed structure of CrCoRu2, as listed in Alexandria via LeMat-Bulk.

POSCAR file:
```
CrCoRu2
1.0
3.934 0.000 0.000
0.000 1.300 4.682
0.000 -1.300 4.682
Cr Co Ru
1 1 2
Direct
0.000 0.000 0.000
0.500 0.127 0.127
0.000 0.732 0.732
0.500 0.392 0.392
```

## Properties
Energy relative to the elements, eV per formula unit: 0.3

First-principles (GGA-PBEsol) data for a relaxed structure of CrCoRu2, as listed in Alexandria via LeMat-Bulk.

POSCAR file:
```
CrCoRu2
1.0
2.588 0.000 0.000
0.000 2.588 0.000
0.000 0.000 7.173
Cr Co Ru
1 1 2
Direct
0.000 0.000 0.000
0.000 0.000 0.500
0.500 0.500 0.252
0.500 0.500 0.748
```

## Properties
Energy relative to the elements, eV per formula unit: 0.6

First-principles (GGA-PBEsol) data for a relaxed structure of CrCoRu2, as listed in Alexandria via LeMat-Bulk.

POSCAR file:
```
CrCoRu2
1.0
3.664 0.000 0.000
0.000 3.664 0.000
0.000 0.000 3.567
Cr Co Ru
1 1 2
Direct
0.000 0.000 0.000
0.500 0.500 0.000
0.000 0.500 0.500
0.500 0.000 0.500
```

## Properties
Energy relative to the elements, eV per formula unit: 0.3

First-principles (GGA-PBEsol) data for a relaxed structure of CrCoRu, as listed in Alexandria via LeMat-Bulk.

POSCAR file:
```
CrCoRu
1.0
-1.440 1.440 4.276
1.440 -1.440 4.276
1.440 1.440 -4.276
Cr Co Ru
1 1 1
Direct
0.000 0.000 0.000
0.352 0.352 0.000
0.666 0.666 0.000
```

## Properties
Energy relative to the elements, eV per formula unit: 0.6

First-principles (GGA-PBEsol) data for a relaxed structure of CrCoRu2, as listed in Alexandria via LeMat-Bulk.

POSCAR file:
```
CrCoRu2
1.0
-1.408 2.066 4.196
1.408 -2.066 4.196
1.408 2.066 -4.196
Cr Co Ru
1 1 2
Direct
0.000 0.000 0.000
0.219 0.719 0.500
0.475 0.475 0.000
0.751 0.251 0.500
```

## Properties
Energy relative to the elements, eV per formula unit: 1.1

no.,DOS at the Fermi energy (states/eV/atom),volume (Å³/cell)
1,1.1010,46
2,0.8260,46
3,0.7383,46
4,1.0121,48
5,1.1811,48
6,1.1752,48
7,1.1034,35
8,1.3282,49